Here is crystalline NpB2Ir2Pt at its relaxed geometry from Alexandria. Energies are from GGA-PBE.

Geometry as CIF:
```
data_NpB2Ir2Pt
_chemical_formula_sum 'Np1 B2 Ir2 Pt1'
_space_group_name_H-M_alt 'P 4/m m m'
_space_group_IT_number 123
_space_group_name_Hall '-P 4 2'
_cell_length_a 4.072
_cell_length_b 4.072
_cell_length_c 5.513
_cell_angle_alpha 90.00
_cell_angle_beta 90.00
_cell_angle_gamma 90.00
loop_
_atom_site_label
_atom_site_type_symbol
_atom_site_fract_x
_atom_site_fract_y
_atom_site_fract_z
_atom_site_occupancy
Np1 Np 0.000 0.000 0.000 1
B1 B 0.000 0.500 0.500 1
Ir1 Ir 0.500 0.500 0.255 1
Pt1 Pt 0.000 0.000 0.500 1
```

## Properties
* total DFT energy (no corrections): -48.59 eV per cell
* DFT formation energy: 0.245 eV/atom
* calculated volume: 91.4 Å³ per cell